Density functional theory data (PBE-GGA) for an optimized crystal structure of NaAgCl2.

a = 8.1696 Å, b = 8.1696 Å, c = 8.1696 Å
α = 30.05°, β = 30.05°, γ = 30.05°
Element x y z (fractional)
Na 0.0000 0.0000 0.0000
Ag 0.5000 0.5000 0.5000
Cl 0.8938 0.8938 0.8938
Cl 0.1062 0.1062 0.1062

Summary:
ΔE_f (raw)   -0.848 eV/atom
Energy relative to the lowest polymorph listed for this composition   248 meV per atom
Crystal system   trigonal
Space-group type   R-3m (166)
Magnetic moment   0.000 Bohr magnetons per cell

=====

Density functional theory data (PBE-GGA) for an optimized crystal structure of CaTm2Pb.

a = 3.5552 Å, b = 3.5552 Å, c = 12.3815 Å
α = 81.75°, β = 81.75°, γ = 60.00°
Element x y z (fractional)
Pb 0.0000 0.0000 0.0000
Ca 0.5000 0.5000 0.5000
Tm 0.0852 0.0852 0.7445
Tm 0.9148 0.9148 0.2555

Summary:
Energy relative to the lowest polymorph listed for this composition   356 meV per atom
Crystal system   trigonal
Space-group type   R-3m (166)
DFT formation energy   0.15 eV per atom
Magnetic moment   0.002 Bohr magnetons per cell

=====

Density functional theory data (PBE-GGA) for an optimized crystal structure of Tb12NdSm7.

a = 9.8268 Å, b = 9.8268 Å, c = 9.8268 Å
α = 109.47°, β = 109.47°, γ = 109.47°
Element x y z (fractional)
Tb 0.4981 0.7488 0.7493
Tb 0.9995 0.7488 0.2507
Tb 0.5019 0.2512 0.2507
Tb 0.0005 0.2512 0.7493
Tb 0.7493 0.0005 0.2512
Tb 0.7493 0.4981 0.7488
Tb 0.2507 0.9995 0.7488
Tb 0.2507 0.5019 0.2512
Tb 0.7488 0.7493 0.4981
Tb 0.2512 0.2507 0.5019
Tb 0.7488 0.2507 0.9995
Tb 0.2512 0.7493 0.0005
Nd 0.0000 0.0000 0.0000
Sm 0.5000 0.5000 0.0000
Sm 0.0000 0.5000 0.5000
Sm 0.5000 0.0000 0.5000
Sm 0.5000 0.5000 0.5000
Sm 0.0000 0.0000 0.5000
Sm 0.5000 0.0000 0.0000
Sm 0.0000 0.5000 0.0000

Summary:
Energy relative to the lowest polymorph listed for this composition   360 meV per atom
Crystal system   cubic
Space-group type   Im-3m (229)
DFT formation energy   0.64 eV per atom
Magnetic moment   0.000 Bohr magnetons per cell

=====

Density functional theory data (PBE-GGA) for an optimized crystal structure of YZnOs2.

a = 9.6631 Å, b = 9.6631 Å, c = 9.6631 Å
α = 17.19°, β = 17.19°, γ = 17.19°
Site moments in Bohr magnetons follow the coordinates.
Element x y z (fractional)
Os 0.9974 0.9974 0.9974  0.06
Os 0.2603 0.2603 0.2603  0.09
Y 0.5016 0.5016 0.5016  0.30
Zn 0.7406 0.7406 0.7406  0.01

Summary:
Crystal system   trigonal
Space-group type   R3m (160)
DFT formation energy   0.44 eV per atom
Magnetic moment   0.570 Bohr magnetons per cell

=====

Density functional theory data (PBE-GGA) for an optimized crystal structure of AlPt2Br.

a = 3.7089 Å, b = 4.2626 Å, c = 4.2626 Å
α = 90.00°, β = 90.00°, γ = 90.00°
Element x y z (fractional)
Br 0.5000 0.0000 0.5000
Pt 0.0000 0.0000 0.0000
Pt 0.0000 0.5000 0.5000
Al 0.5000 0.5000 0.0000

Summary:
ΔE_f (raw)   0.164 eV/atom
Energy relative to the lowest polymorph listed for this composition   604 meV per atom
Crystal system   tetragonal
Space-group type   P4/mmm (123)
Magnetic moment   0.000 Bohr magnetons per cell

=====

Density functional theory data (PBE-GGA) for an optimized crystal structure of BaCrBr.

a = 5.1950 Å, b = 5.1950 Å, c = 4.1322 Å
α = 90.00°, β = 90.00°, γ = 120.00°
Site moments in Bohr magnetons follow the coordinates.
Element x y z (fractional)
Ba 0.0000 0.0000 0.9997  0.06
Br 0.6667 0.3333 0.5009  0.05
Cr 0.3333 0.6667 0.4995  4.10

Summary:
ΔE_f (raw)   -0.116 eV/atom
Energy relative to the lowest polymorph listed for this composition   3 meV per atom
Crystal system   trigonal
Space-group type   P3m1 (156)
Magnetic moment   5.020 Bohr magnetons per cell

=====

Density functional theory data (PBE-GGA) for an optimized crystal structure of Tb2Ce2SiIr4.

a = 6.4520 Å, b = 6.4520 Å, c = 6.4520 Å
α = 88.03°, β = 121.15°, γ = 121.15°
Site moments in Bohr magnetons follow the coordinates.
Element x y z (fractional)
Tb 0.5000 0.7500 0.2500  0.03
Tb 0.5000 0.2500 0.7500  0.03
Ce 0.0000 0.6930 0.6930  0.15
Ce 0.0000 0.3070 0.3070  0.15
Si 0.0000 0.0000 0.0000  0.01
Ir 0.0000 0.7393 0.2607  -0.01
Ir 0.4787 0.7393 0.7393  -0.01
Ir 0.0000 0.2607 0.7393  -0.01
Ir 0.5213 0.2607 0.2607  -0.01

Summary:
ΔE_f (raw)   -0.441 eV/atom
Crystal system   tetragonal
Space-group type   I4/mmm (139)
Magnetic moment   0.417 Bohr magnetons per cell

=====

Density functional theory data (PBE-GGA) for an optimized crystal structure of Ca2AgRu.

a = 5.8086 Å, b = 5.8086 Å, c = 5.1973 Å
α = 73.96°, β = 73.96°, γ = 32.89°
Site moments in Bohr magnetons follow the coordinates.
Element x y z (fractional)
Ru 0.5225 0.5225 0.5380  0.58
Ca 0.9812 0.9812 0.0505  -0.01
Ca 0.7786 0.7786 0.6814  -0.01
Ag 0.2177 0.2177 0.2302  0.01

Summary:
Crystal system   monoclinic
Space-group type   Cm (8)
DFT formation energy   0.14 eV per atom
Magnetic moment   0.538 Bohr magnetons per cell

=====

Density functional theory data (PBE-GGA) for an optimized crystal structure of Pr8Nd6Dy.

a = 6.7666 Å, b = 9.6198 Å, c = 9.6198 Å
α = 120.00°, β = 90.00°, γ = 90.00°
Element x y z (fractional)
Pr 0.8352 0.0304 0.2826
Pr 0.8352 0.7174 0.7478
Pr 0.8352 0.2522 0.9696
Pr 0.1648 0.9696 0.7174
Pr 0.1648 0.2826 0.2522
Pr 0.1648 0.7478 0.0304
Pr 0.8875 0.3333 0.6667
Pr 0.1125 0.6667 0.3333
Nd 0.6577 0.6544 0.0860
Nd 0.6577 0.9140 0.5684
Nd 0.6577 0.4316 0.3456
Nd 0.3423 0.3456 0.9140
Nd 0.3423 0.0860 0.4316
Nd 0.3423 0.5684 0.6544
Dy 0.5000 0.0000 0.0000

Summary:
Energy relative to the lowest polymorph listed for this composition   48 meV per atom
Crystal system   trigonal
Space-group type   P-3 (147)
DFT formation energy   0.16 eV per atom
Magnetic moment   0.000 Bohr magnetons per cell

=====

Density functional theory data (PBE-GGA) for an optimized crystal structure of LiRu2W.

a = 4.2770 Å, b = 4.2770 Å, c = 4.2770 Å
α = 60.00°, β = 60.00°, γ = 60.00°
Element x y z (fractional)
Ru 0.2500 0.2500 0.2500
Ru 0.7500 0.7500 0.7500
W 0.5000 0.5000 0.5000
Li 0.0000 0.0000 0.0000

Summary:
Energy relative to the lowest polymorph listed for this composition   0 meV per atom
Crystal system   cubic
Space-group type   Fm-3m (225)
DFT formation energy   -0.06 eV per atom
Magnetic moment   0.000 Bohr magnetons per cell

=====

Density functional theory data (PBE-GGA) for an optimized crystal structure of Sm6HgTe3Ir2.

a = 4.2228 Å, b = 9.0659 Å, c = 9.8104 Å
α = 104.97°, β = 102.43°, γ = 90.00°
Element x y z (fractional)
Sm 0.3275 0.8723 0.6550
Sm 0.6771 0.5656 0.3543
Sm 0.6725 0.1277 0.3450
Sm 0.0203 0.2619 0.0407
Sm 0.9797 0.7381 0.9593
Sm 0.3229 0.4344 0.6457
Hg 0.5000 0.0000 0.0000
Te 0.5000 0.5000 0.0000
Te 0.8422 0.1595 0.6845
Te 0.1578 0.8405 0.3155
Ir 0.8301 0.6597 0.6602
Ir 0.1699 0.3403 0.3398

Summary:
ΔE_f (raw)   -0.984 eV/atom
Crystal system   monoclinic
Space-group type   C2/m (12)
Magnetic moment   0.000 Bohr magnetons per cell

=====

Density functional theory data (PBE-GGA) for an optimized crystal structure of ScNb3Pt.

a = 4.6597 Å, b = 4.6597 Å, c = 4.6597 Å
α = 90.00°, β = 90.00°, γ = 90.00°
Element x y z (fractional)
Sc 0.0000 0.0000 0.0000
Nb 0.0000 0.5000 0.0000
Nb 0.0000 0.0000 0.5000
Nb 0.5000 0.0000 0.0000
Pt 0.5000 0.5000 0.5000

Summary:
Energy relative to the lowest polymorph listed for this composition   699 meV per atom
Crystal system   cubic
Space-group type   Pm-3m (221)
DFT formation energy   1.53 eV per atom
Magnetic moment   0.000 Bohr magnetons per cell